Record 1
VASP calculation (PBE with a Hubbard U) on a relaxed structure of Li7Mn4CoO12.

Cell and atoms, written as POSCAR:
```
Li7Mn4CoO12
1.0
5.2685 0.0000 0.0000
2.1386 5.6181 0.0000
2.1012 1.2655 7.3903
Li Mn Co O
7 4 1 12
direct
0.0000 0.0000 0.0000
0.0018 0.6751 0.3440
0.0133 0.3183 0.6640
0.0233 0.1724 0.3448
0.0275 0.8510 0.6696
0.5088 0.9951 0.5035
0.9896 0.4842 0.9973
0.5013 0.1587 0.8308
0.5041 0.6665 0.8325
0.5067 0.4958 0.5003
0.5092 0.8391 0.1724
0.5094 0.3326 0.1734
0.2652 0.9781 0.7578
0.2656 0.4784 0.7388
0.2706 0.1514 0.0828
0.2744 0.8166 0.4089
0.2984 0.3462 0.4100
0.3068 0.6685 0.0924
0.7149 0.9997 0.2392
0.7159 0.6377 0.5877
0.7282 0.3445 0.9329
0.7400 0.1773 0.5883
0.7409 0.8443 0.9288
0.7449 0.5196 0.2621
```

Output
Density: 3.9 g/cm³
E_tot: -6.209 eV/atom
ΔE to the lowest computed polymorph: 0.60 eV/f.u.

Record 2
VASP calculation (PBE with a Hubbard U) on a relaxed structure of Li7Mn4CoO12.

Cell and atoms, written as POSCAR:
```
Li7Mn4CoO12
1.0
5.2693 0.0000 0.0000
2.0539 5.5933 0.0000
2.0401 1.2256 7.3886
Li Mn Co O
7 4 1 12
direct
0.0000 0.0000 0.0000
0.0026 0.3431 0.6760
0.0185 0.5115 0.0034
0.0336 0.6855 0.3397
0.5040 0.1866 0.8454
0.5141 0.5171 0.5062
0.5318 0.8404 0.1676
0.0199 0.1835 0.3361
0.5181 0.6831 0.8404
0.5190 0.0137 0.5074
0.5200 0.3489 0.1711
0.0187 0.8462 0.6744
0.2443 0.8598 0.4342
0.2789 0.5528 0.7619
0.2855 0.1995 0.1100
0.2879 0.0058 0.7553
0.2942 0.3388 0.4171
0.3012 0.6721 0.0837
0.7372 0.3600 0.9282
0.7464 0.6909 0.5969
0.7481 0.0225 0.2571
0.7554 0.4824 0.2505
0.7625 0.8313 0.8999
0.7933 0.1637 0.5837
```

Output
Density: 4.0 g/cm³
E_tot: -6.212 eV/atom
ΔE to the lowest computed polymorph: 0.54 eV/f.u.

Record 3
VASP calculation (PBE with a Hubbard U) on a relaxed structure of Li4MnCo2O7.

Cell and atoms, written as POSCAR:
```
Li4MnCo2O7
1.0
10.4516 -1.4371 0.0000
10.4516 1.4371 0.0000
-1.6824 0.0000 8.2080
Li Mn Co O
8 2 4 14
direct
0.0000 0.0000 0.0000
0.0056 0.0056 0.5059
0.1415 0.1415 0.5849
0.2929 0.2929 0.1589
0.4417 0.4417 0.6912
0.5711 0.5711 0.3159
0.7176 0.7176 0.8569
0.8640 0.8640 0.4286
0.1440 0.1440 0.0672
0.2909 0.2909 0.6432
0.4324 0.4324 0.2291
0.5732 0.5732 0.7820
0.7141 0.7141 0.3585
0.8629 0.8629 0.9354
0.0104 0.0104 0.7584
0.1399 0.1399 0.8329
0.1443 0.1443 0.2983
0.2847 0.2847 0.4102
0.2947 0.2947 0.8791
0.4278 0.4278 0.9926
0.4321 0.4321 0.4433
0.5767 0.5767 0.5596
0.5803 0.5803 0.0265
0.7092 0.7092 0.0967
0.7266 0.7266 0.6198
0.8549 0.8549 0.6722
0.8675 0.8675 0.1891
0.9934 0.9934 0.2479
```

Output
Density: 4.2 g/cm³
DOS at the Fermi energy: 2.99 states/eV/f.u.
E_tot: -5.803 eV/atom
ΔE to the lowest computed polymorph: 1.10 eV/f.u.

Record 4
VASP calculation (PBE with a Hubbard U) on a relaxed structure of Li7Mn4CoO12.

Cell and atoms, written as POSCAR:
```
Li7Mn4CoO12
1.0
3.0154 0.0000 0.0000
-1.4602 6.2852 0.0000
-0.9812 -2.9384 11.6992
Li Mn Co O
7 4 1 12
direct
0.0000 0.0000 0.0000
0.0118 0.9940 0.4912
0.3145 0.6489 0.3262
0.3376 0.6572 0.5813
0.4100 0.6656 0.8116
0.6647 0.3317 0.1612
0.7155 0.3471 0.6559
0.0033 0.0010 0.2470
0.0479 0.9888 0.7324
0.3578 0.6647 0.0755
0.7228 0.3347 0.9025
0.6648 0.3438 0.4177
0.1395 0.3270 0.5221
0.1807 0.3409 0.0281
0.1855 0.3167 0.2894
0.2440 0.3194 0.7823
0.4870 0.0207 0.3696
0.5204 0.9977 0.6297
0.5373 0.9876 0.1194
0.5906 0.0113 0.8473
0.8197 0.6275 0.4429
0.8243 0.6785 0.2006
0.8878 0.6561 0.9537
0.8885 0.6888 0.7020
```

Output
Density: 3.9 g/cm³
DOS at the Fermi energy: 0.87 states/eV/f.u.
E_tot: -6.174 eV/atom
ΔE to the lowest computed polymorph: 1.45 eV/f.u.

Record 5
VASP calculation (PBE with a Hubbard U) on a relaxed structure of Li4MnCo2O7.

Cell and atoms, written as POSCAR:
```
Li4MnCo2O7
1.0
6.4534 -1.4335 0.0000
6.4534 1.4335 0.0000
-5.4594 0.0000 13.3647
Li Mn Co O
8 2 4 14
direct
0.0000 0.0000 0.0000
0.0150 0.0150 0.5103
0.1511 0.1511 0.7221
0.3116 0.3116 0.4492
0.4358 0.4358 0.1508
0.5832 0.5832 0.8611
0.7201 0.7201 0.5741
0.8784 0.8784 0.3077
0.1500 0.1500 0.2314
0.7216 0.7216 0.0792
0.2976 0.2976 0.9360
0.4469 0.4469 0.6502
0.5830 0.5830 0.3745
0.8691 0.8691 0.7915
0.0041 0.0041 0.7458
0.0253 0.0253 0.2727
0.1510 0.1510 0.4647
0.1531 0.1531 0.9841
0.2778 0.2778 0.1826
0.3153 0.3153 0.6949
0.4339 0.4339 0.8876
0.4524 0.4524 0.4014
0.5707 0.5707 0.6225
0.5843 0.5843 0.1368
0.7161 0.7161 0.3262
0.7329 0.7329 0.8358
0.8639 0.8639 0.0412
0.8785 0.8785 0.5612
```

Output
Density: 4.2 g/cm³
DOS at the Fermi energy: 2.41 states/eV/f.u.
E_tot: -5.786 eV/atom
ΔE to the lowest computed polymorph: 1.34 eV/f.u.

Record 6
VASP calculation (PBE with a Hubbard U) on a relaxed structure of Li4MnCo2O7.

Cell and atoms, written as POSCAR:
```
Li4MnCo2O7
1.0
14.6926 -1.4462 0.0000
14.6926 1.4462 0.0000
-0.6361 0.0000 5.8102
Li Mn Co O
8 2 4 14
direct
0.0000 0.0000 0.0000
0.0003 0.0003 0.4863
0.1389 0.1389 0.5615
0.2896 0.2896 0.1508
0.4354 0.4354 0.7067
0.5689 0.5689 0.2815
0.7158 0.7158 0.8581
0.8621 0.8621 0.4284
0.1441 0.1441 0.0623
0.2912 0.2912 0.6504
0.4320 0.4320 0.2175
0.5637 0.5637 0.7642
0.7175 0.7175 0.3598
0.8616 0.8616 0.9365
0.0719 0.0719 0.5432
0.0776 0.0776 0.0137
0.2110 0.2110 0.1111
0.2261 0.2261 0.6094
0.3590 0.3590 0.7095
0.3645 0.3645 0.1569
0.4928 0.4928 0.2362
0.5028 0.5028 0.7532
0.6436 0.6436 0.2892
0.6447 0.6447 0.8382
0.7927 0.7927 0.4186
0.7944 0.7944 0.8892
0.9266 0.9266 0.9898
0.9295 0.9295 0.4292
```

Output
Density: 4.2 g/cm³
DOS at the Fermi energy: 1.55 states/eV/f.u.
E_tot: -5.819 eV/atom
ΔE to the lowest computed polymorph: 0.88 eV/f.u.

Record 7
VASP calculation (PBE with a Hubbard U) on a relaxed structure of Li4MnCo2O7.

Cell and atoms, written as POSCAR:
```
Li4MnCo2O7
1.0
2.9606 0.0000 0.0000
1.4242 6.2323 0.0000
0.5868 1.3885 13.4245
Li Mn Co O
8 2 4 14
direct
0.0000 0.0000 0.0000
0.0000 0.5000 0.5000
0.1056 0.4432 0.2889
0.3038 0.8527 0.5676
0.4197 0.2898 0.8593
0.5803 0.7102 0.1407
0.6962 0.1473 0.4324
0.8944 0.5568 0.7111
0.1185 0.9295 0.7890
0.8815 0.0705 0.2110
0.3065 0.3565 0.0683
0.4162 0.7781 0.3631
0.5838 0.2219 0.6369
0.6935 0.6435 0.9317
0.0191 0.7645 0.2525
0.1660 0.6599 0.0256
0.1708 0.1818 0.5437
0.2247 0.6202 0.8360
0.2829 0.0831 0.3201
0.4439 0.5048 0.6144
0.4701 0.0469 0.1070
0.5299 0.9531 0.8930
0.5561 0.4952 0.3856
0.7171 0.9169 0.6799
0.7753 0.3798 0.1640
0.8292 0.8182 0.4563
0.8340 0.3401 0.9744
0.9809 0.2355 0.7475
```

Output
Density: 4.2 g/cm³
DOS at the Fermi energy: 0.56 states/eV/f.u.
E_tot: -5.806 eV/atom
ΔE to the lowest computed polymorph: 1.05 eV/f.u.

Record 8
VASP calculation (PBE with a Hubbard U) on a relaxed structure of Li4MnCo2O7.

Cell and atoms, written as POSCAR:
```
Li4MnCo2O7
1.0
2.8963 0.0000 0.0000
-0.0152 5.1573 0.0000
-1.2432 -0.9190 16.7881
Li Mn Co O
8 2 4 14
direct
0.0000 0.0000 0.0000
0.0593 0.3624 0.1375
0.2141 0.0668 0.4311
0.3773 0.7884 0.7145
0.5000 0.5000 0.0000
0.6227 0.2116 0.2855
0.7859 0.9332 0.5689
0.9407 0.6376 0.8625
0.1207 0.7100 0.2853
0.8793 0.2900 0.7147
0.3141 0.4336 0.5665
0.4444 0.1219 0.8668
0.5556 0.8781 0.1332
0.6859 0.5664 0.4335
0.0319 0.6894 0.0785
0.0912 0.9905 0.2161
0.1485 0.4267 0.3559
0.2378 0.7450 0.4999
0.3504 0.1293 0.6511
0.4066 0.4465 0.7763
0.4663 0.8350 0.9209
0.5337 0.1650 0.0791
0.5934 0.5535 0.2237
0.6496 0.8707 0.3489
0.7622 0.2550 0.5001
0.8515 0.5733 0.6441
0.9088 0.0095 0.7839
0.9681 0.3106 0.9215
```

Output
Density: 4.1 g/cm³
DOS at the Fermi energy: 2.93 states/eV/f.u.
E_tot: -5.726 eV/atom
ΔE to the lowest computed polymorph: 2.18 eV/f.u.

Record 9
VASP calculation (PBE with a Hubbard U) on a relaxed structure of Li4MnCo2O7.

Cell and atoms, written as POSCAR:
```
Li4MnCo2O7
1.0
2.9937 0.0000 0.0000
-1.2530 9.6954 0.0000
-0.3287 -4.4677 8.7415
Li Mn Co O
8 2 4 14
direct
0.0000 0.0000 0.0000
0.0422 0.1320 0.7977
0.1949 0.4133 0.3568
0.3385 0.7110 0.9355
0.5106 0.9955 0.4969
0.6188 0.2654 0.0706
0.7660 0.5612 0.6424
0.9257 0.8518 0.2171
0.4051 0.8524 0.7265
0.8481 0.6998 0.4286
0.1312 0.2747 0.5695
0.2911 0.5595 0.1391
0.5610 0.1277 0.2758
0.7086 0.4184 0.8541
0.0028 0.0735 0.3985
0.1234 0.1988 0.1911
0.1909 0.3597 0.9656
0.2279 0.4789 0.7440
0.2736 0.6425 0.5407
0.4262 0.7646 0.3193
0.4637 0.9389 0.1300
0.5117 0.0495 0.8823
0.6077 0.2163 0.6809
0.6501 0.3272 0.4558
0.7732 0.4995 0.2473
0.8132 0.6238 0.0296
0.8844 0.7866 0.8119
0.9176 0.9017 0.6168
```

Output
Density: 4.1 g/cm³
DOS at the Fermi energy: 0.32 states/eV/f.u.
E_tot: -5.795 eV/atom
ΔE to the lowest computed polymorph: 1.21 eV/f.u.

Record 10
VASP calculation (PBE with a Hubbard U) on a relaxed structure of Li4MnCo2O7.

Cell and atoms, written as POSCAR:
```
Li4MnCo2O7
1.0
4.9940 0.0000 0.0000
-0.9328 5.0510 0.0000
-1.6502 -1.9998 9.8610
Li Mn Co O
8 2 4 14
direct
0.0000 0.0000 0.0000
0.0057 0.9844 0.4903
0.1531 0.2727 0.2838
0.2818 0.5494 0.5512
0.4367 0.8496 0.8532
0.5753 0.1373 0.1396
0.7237 0.4122 0.4159
0.8687 0.6989 0.6993
0.1516 0.2660 0.7759
0.5818 0.1182 0.6311
0.2960 0.5778 0.0686
0.4430 0.8541 0.3536
0.7195 0.4203 0.9196
0.8742 0.7189 0.2167
0.0701 0.5924 0.8793
0.0816 0.6424 0.3728
0.2110 0.9176 0.1678
0.2428 0.9482 0.6795
0.3680 0.2224 0.9473
0.3921 0.1839 0.4676
0.4980 0.5265 0.2461
0.5057 0.4538 0.7467
0.6363 0.7936 0.5378
0.6377 0.7647 0.0313
0.7703 0.0455 0.3131
0.8064 0.0662 0.8022
0.9303 0.3715 0.0840
0.9374 0.3284 0.6138
```

Output
Density: 4.2 g/cm³
E_tot: -5.828 eV/atom
ΔE to the lowest computed polymorph: 0.76 eV/f.u.

Record 11
VASP calculation (PBE with a Hubbard U) on a relaxed structure of Li4MnCo2O7.

Cell and atoms, written as POSCAR:
```
Li4MnCo2O7
1.0
2.8910 0.0000 0.0000
1.2933 7.6152 0.0000
1.3888 1.4801 11.1115
Li Mn Co O
8 2 4 14
direct
0.0000 0.0000 0.0000
0.0586 0.2239 0.6555
0.1994 0.6389 0.9339
0.3766 0.0779 0.1996
0.5089 0.4927 0.5051
0.6365 0.9247 0.8087
0.8192 0.3388 0.0650
0.9245 0.7871 0.3541
0.2911 0.8649 0.5717
0.5557 0.7185 0.1401
0.1479 0.4270 0.2877
0.4322 0.2758 0.8650
0.7361 0.1457 0.4267
0.8626 0.5720 0.7189
0.0322 0.1248 0.8286
0.1418 0.5469 0.1224
0.1503 0.3080 0.4530
0.2618 0.7625 0.7350
0.3203 0.9824 0.4028
0.4069 0.1834 0.0242
0.4596 0.3907 0.6942
0.5028 0.6009 0.3151
0.6024 0.7987 0.9794
0.7042 0.0315 0.5939
0.7933 0.2529 0.2622
0.8396 0.4363 0.8918
0.8783 0.7078 0.5352
0.9678 0.8721 0.1769
```

Output
Density: 4.2 g/cm³
DOS at the Fermi energy: 0.00 states/eV/f.u.
E_tot: -5.823 eV/atom
ΔE to the lowest computed polymorph: 0.82 eV/f.u.

Record 12
VASP calculation (PBE with a Hubbard U) on a relaxed structure of Li4MnCo2O7.

Cell and atoms, written as POSCAR:
```
Li4MnCo2O7
1.0
5.0161 0.0000 0.0000
-0.8571 5.0406 0.0000
-1.5438 -2.1523 9.7935
Li Mn Co O
8 2 4 14
direct
0.0000 0.0000 0.0000
0.0069 0.9994 0.5037
0.1634 0.2743 0.2956
0.2776 0.5631 0.5662
0.4188 0.8557 0.8525
0.5786 0.1441 0.1472
0.7321 0.4183 0.4276
0.8740 0.7181 0.7031
0.5728 0.1397 0.6386
0.7119 0.4314 0.9246
0.1414 0.2864 0.7822
0.2839 0.5785 0.0751
0.4277 0.8442 0.3641
0.8577 0.7202 0.2224
0.0534 0.6149 0.8887
0.0870 0.6380 0.3825
0.2209 0.9071 0.1733
0.2362 0.9637 0.6843
0.3599 0.2437 0.9541
0.3877 0.2012 0.4736
0.4939 0.4720 0.7541
0.5021 0.5014 0.2432
0.6338 0.8081 0.5423
0.6434 0.7581 0.0267
0.7803 0.0380 0.3133
0.7903 0.1031 0.8151
0.9125 0.3701 0.0905
0.9236 0.3419 0.6194
```

Output
Density: 4.2 g/cm³
E_tot: -5.839 eV/atom
ΔE to the lowest computed polymorph: 0.60 eV/f.u.